KZnGa2Ru: optimized geometry, PBE-GGA.

Lattice parameters (Å, degrees): 4.836 4.836 4.991 90.00 90.00 90.00
Atoms (fractional coordinates):
Zn (0.000, 0.000, 0.500)
Ga (0.000, 0.500, 0.000)
Ru (0.000, 0.000, 0.000)
Ga (0.500, 0.000, 0.000)
K (0.500, 0.500, 0.500)

Values from the calculation:
energy of formation = -0.196 eV per atom
DOS at the Fermi energy = 2.01 states/eV per cell
space group = P4/mmm
raw total energy = -3.74 eV per atom

Ce3HoEr2Bi6: optimized geometry, PBE-GGA.

Lattice parameters (Å, degrees): 7.846 7.846 7.836 99.61 99.61 120.00
Site moments in Bohr magnetons follow the coordinates.
Atoms (fractional coordinates):
Bi (0.080, 0.414, 0.241)  -0.03
Ce (0.166, 0.834, 0.500)  0.84
Bi (0.414, 0.080, 0.241)  -0.03
Bi (0.254, 0.254, 0.759)  -0.03
Ce (0.500, 0.500, 0.500)  0.83
Bi (0.920, 0.586, 0.759)  -0.03
Ce (0.834, 0.166, 0.500)  0.84
Bi (0.586, 0.920, 0.759)  -0.03
Er (0.333, 0.667, 0.000)  -0.01
Bi (0.746, 0.746, 0.241)  -0.03
Er (0.667, 0.333, 0.000)  -0.01
Ho (0.000, 0.000, 0.000)  -0.01

Values from the calculation:
energy of formation = -0.807 eV per atom
DOS at the Fermi energy = 20.53 states/eV per cell
space group = C2/m
raw total energy = -5.37 eV per atom

La2HgGe4Au3: optimized geometry, PBE-GGA.

Lattice parameters (Å, degrees): 4.570 4.570 10.586 90.00 90.00 90.00
Atoms (fractional coordinates):
Au (0.000, 0.000, 0.500)
La (0.500, 0.000, 0.245)
Ge (0.500, 0.000, 0.639)
Ge (0.500, 0.500, 0.000)
Au (0.000, 0.500, 0.124)
Ge (0.000, 0.500, 0.361)
La (0.000, 0.500, 0.755)
Au (0.500, 0.000, 0.876)
Ge (0.000, 0.000, 0.000)
Hg (0.500, 0.500, 0.500)

Values from the calculation:
energy of formation = -0.536 eV per atom
DOS at the Fermi energy = 3.17 states/eV per cell
space group = P-4m2
raw total energy = -4.38 eV per atom

NaCaHfMoPd: optimized geometry, PBE-GGA.

Lattice parameters (Å, degrees): 3.356 3.417 20.263 90.00 99.13 90.00
Site moments in Bohr magnetons follow the coordinates.
Atoms (fractional coordinates):
Hf (0.212, 0.500, 0.681)  0.04
Na (0.382, 0.500, 0.854)  0.00
Mo (0.638, 0.500, 0.105)  0.79
Na (0.382, 0.000, 0.354)  0.00
Pd (0.785, 0.000, 0.757)  0.04
Mo (0.638, 0.000, 0.605)  0.79
Pd (0.785, 0.500, 0.257)  0.04
Ca (0.039, 0.500, 0.504)  0.04
Hf (0.212, 0.000, 0.181)  0.04
Ca (0.039, 0.000, 0.004)  0.04

Values from the calculation:
energy of formation = 0.040 eV per atom
DOS at the Fermi energy = 12.05 states/eV per cell
energy above the lowest structure with this stoichiometry = 0 meV per atom
space group = Cm
raw total energy = -5.82 eV per atom

CeMgInSn: optimized geometry, PBE-GGA.

Lattice parameters (Å, degrees): 4.517 4.674 4.843 90.00 90.00 90.00
Site moments in Bohr magnetons follow the coordinates.
Atoms (fractional coordinates):
Sn (0.500, 0.000, 0.500)  0.00
Mg (0.000, 0.000, 0.000)  0.00
Ce (0.000, 0.500, 0.500)  0.65
In (0.500, 0.500, 0.000)  0.01

Values from the calculation:
energy of formation = -0.441 eV per atom
DOS at the Fermi energy = 6.22 states/eV per cell
energy above the lowest structure with this stoichiometry = 0 meV per atom
space group = Pmmm
raw total energy = -4.01 eV per atom

Mg2MnOs: optimized geometry, PBE-GGA.

Lattice parameters (Å, degrees): 5.060 5.060 5.060 139.13 130.78 65.83
Site moments in Bohr magnetons follow the coordinates.
Atoms (fractional coordinates):
Mg (0.001, 0.001, 0.000)  -0.03
Mg (0.499, 0.499, 0.000)  -0.03
Mn (0.750, 0.250, 0.500)  3.46
Os (0.250, 0.750, 0.500)  0.17

Values from the calculation:
energy of formation = 0.219 eV per atom
DOS at the Fermi energy = 1.71 states/eV per cell
energy above the lowest structure with this stoichiometry = 135 meV per atom
space group = Immm
raw total energy = -5.68 eV per atom

Ac2PmAu: optimized geometry, PBE-GGA.

Lattice parameters (Å, degrees): 3.868 3.868 12.281 80.94 80.94 60.00
Atoms (fractional coordinates):
Ac (0.082, 0.082, 0.753)
Au (0.000, 0.000, 0.000)
Ac (0.918, 0.918, 0.247)
Pm (0.500, 0.500, 0.500)

Values from the calculation:
energy of formation = 0.147 eV per atom
DOS at the Fermi energy = 4.13 states/eV per cell
energy above the lowest structure with this stoichiometry = 496 meV per atom
space group = R-3m
raw total energy = -3.91 eV per atom

YHPd2Au: optimized geometry, PBE-GGA.

Lattice parameters (Å, degrees): 4.192 4.192 4.405 90.00 90.00 90.00
Atoms (fractional coordinates):
Au (0.000, 0.000, 0.500)
H (0.000, 0.000, 0.000)
Pd (0.500, 0.000, 0.000)
Pd (0.000, 0.500, 0.000)
Y (0.500, 0.500, 0.500)

Values from the calculation:
DOS at the Fermi energy = 2.14 states/eV per cell
energy above the lowest structure with this stoichiometry = 110 meV per atom
space group = P4/mmm
raw total energy = -5.16 eV per atom